Computed, not measured: a relaxed structure of CaAlAs2 at the PBE level of DFT.

Calculated values
magnetization = 0.0 μB per formula unit
ΔE to the lowest computed polymorph = 0.296 eV per atom
formation enthalpy at 0 K = -0.32 eV per atom

Geometry as CIF:
```
data_CaAlAs2
_chemical_formula_sum 'Ca2 Al2 As4'
_cell_length_a 4.496
_cell_length_b 4.496
_cell_length_c 8.277
_cell_angle_alpha 90.00
_cell_angle_beta 90.00
_cell_angle_gamma 90.00
_symmetry_space_group_name_H-M 'P 1'
_symmetry_Int_Tables_number 1
loop_
_symmetry_equiv_pos_as_xyz
'x,y,z'
loop_
_atom_site_label
_atom_site_type_symbol
_atom_site_fract_x
_atom_site_fract_y
_atom_site_fract_z
Ca1 Ca 0.000 0.000 0.000
Ca2 Ca 0.500 0.500 0.500
Al1 Al 0.000 0.000 0.500
Al2 Al 0.500 0.500 0.000
As1 As 0.000 0.500 0.250
As2 As 0.000 0.500 0.750
As3 As 0.500 0.000 0.250
As4 As 0.500 0.000 0.750
```

Computed, not measured: a relaxed structure of EuLuHgRh at the PBE level of DFT.

Calculated values
magnetization = 7.0 μB per formula unit
formation enthalpy at 0 K = -0.48 eV per atom

Geometry as CIF:
```
data_EuLuHgRh
_chemical_formula_sum 'Eu4 Lu4 Hg4 Rh4'
_cell_length_a 7.184
_cell_length_b 7.184
_cell_length_c 7.184
_cell_angle_alpha 90.00
_cell_angle_beta 90.00
_cell_angle_gamma 90.00
_symmetry_space_group_name_H-M 'P 1'
_symmetry_Int_Tables_number 1
loop_
_symmetry_equiv_pos_as_xyz
'x,y,z'
loop_
_atom_site_label
_atom_site_type_symbol
_atom_site_fract_x
_atom_site_fract_y
_atom_site_fract_z
Eu1 Eu 0.000 0.000 0.000
Eu2 Eu 0.000 0.500 0.500
Eu3 Eu 0.500 0.000 0.500
Eu4 Eu 0.500 0.500 0.000
Lu1 Lu 0.000 0.000 0.500
Lu2 Lu 0.000 0.500 0.000
Lu3 Lu 0.500 0.000 0.000
Lu4 Lu 0.500 0.500 0.500
Hg1 Hg 0.250 0.250 0.250
Hg2 Hg 0.250 0.750 0.750
Hg3 Hg 0.750 0.250 0.750
Hg4 Hg 0.750 0.750 0.250
Rh1 Rh 0.250 0.250 0.750
Rh2 Rh 0.250 0.750 0.250
Rh3 Rh 0.750 0.250 0.250
Rh4 Rh 0.750 0.750 0.750
```

Computed, not measured: a relaxed structure of MoIrRu2 at the PBE level of DFT.

Calculated values
magnetization = 0.0 μB per formula unit
ΔE to the lowest computed polymorph = 0.140 eV per atom
formation enthalpy at 0 K = -0.03 eV per atom

Geometry as CIF:
```
data_MoIrRu2
_chemical_formula_sum 'Mo1 Ir1 Ru2'
_cell_length_a 2.736
_cell_length_b 2.736
_cell_length_c 7.783
_cell_angle_alpha 90.00
_cell_angle_beta 90.00
_cell_angle_gamma 90.00
_symmetry_space_group_name_H-M 'P 1'
_symmetry_Int_Tables_number 1
loop_
_symmetry_equiv_pos_as_xyz
'x,y,z'
loop_
_atom_site_label
_atom_site_type_symbol
_atom_site_fract_x
_atom_site_fract_y
_atom_site_fract_z
Mo1 Mo 0.000 0.000 0.000
Ir1 Ir 0.500 0.500 0.753
Ru1 Ru 0.000 0.000 0.496
Ru2 Ru 0.500 0.500 0.265
```